Record 1
K3Pu2CrTe6 | Alexandria via LeMat-Bulk | PBE | optimized geometry; crystal system = monoclinic; VASP energy = -5.93 eV/atom; ΔE_f (raw) = -0.894 eV per atom; Fermi-level density of states = 2.04 states/eV/atom
1.0
7.6761 -0.0054 -0.0047
-3.8408 6.6461 -0.0047
-1.2844 -2.2239 8.1751
Pu K Te Cr
2 3 6 1
Direct
0.3341 0.6659 0.0000
0.6659 0.3341 0.0000
0.8272 0.1728 0.5000
0.5000 0.5000 0.5000
0.1728 0.8272 0.5000
0.9340 0.6238 0.8011
0.7581 0.7581 0.2009
0.3762 0.0660 0.1989
0.6238 0.9340 0.8011
0.0660 0.3762 0.1989
0.2419 0.2419 0.7991
0.0000 0.0000 0.0000

***

Record 2
La2ZrNb2 | Alexandria via LeMat-Bulk | PBE | optimized geometry; crystal system = tetragonal; ΔE_f = 0.44 eV/atom; VASP energy = -7.27 eV/atom; Fermi-level density of states = 1.20 states/eV/atom
1.0
-1.8540 -6.9882 1.0554
2.0175 0.5223 7.0030
-4.6519 1.4206 1.2342
La Zr Nb
4 2 4
Direct
0.6764 0.8236 0.5000
0.8236 0.3236 0.5000
0.3236 0.1764 0.5000
0.1764 0.6764 0.5000
0.0000 0.0000 0.0000
0.5000 0.5000 0.0000
0.8703 0.6297 0.0000
0.6297 0.1297 0.0000
0.3703 0.8703 0.0000
0.1297 0.3703 0.0000

***

Record 3
PuAlHPd2 | Alexandria via LeMat-Bulk | PBE | optimized geometry; crystal system = orthorhombic; VASP energy = -6.92 eV/atom; Fermi-level density of states = 1.87 states/eV/atom
1.0
-2.2217 1.3777 1.6723
-3.0020 -5.3146 -2.4894
2.0934 -4.0469 6.1152
Pu Al Pd H
2 2 4 2
Direct
0.5203 0.0406 0.2500
0.4797 0.9594 0.7500
0.7558 0.5116 0.7500
0.2442 0.4884 0.2500
0.1532 0.3063 0.5488
0.8468 0.6937 0.0488
0.1532 0.3063 0.9512
0.8468 0.6937 0.4512
0.0000 0.0000 0.0000
0.0000 0.0000 0.5000

***

Record 4
Gd2SO2 | Alexandria via LeMat-Bulk | PBE | optimized geometry; crystal system = trigonal; VASP energy = -11.58 eV/atom; ΔE_f (raw) = -3.139 eV per atom; Fermi-level density of states = 0.00 states/eV/atom
1.0
-0.3222 2.6117 2.8398
-1.0236 -3.6804 0.6295
6.2359 -1.3940 1.9896
O S Gd
2 1 2
Direct
0.6667 0.3333 0.6295
0.3333 0.6667 0.3705
0.0000 0.0000 0.0000
0.3333 0.6667 0.7191
0.6667 0.3333 0.2809

***

Among the records above, which one has the highest Fermi-level density of states? K3Pu2CrTe6

***

The highest VASP energy belongs to which entry? K3Pu2CrTe6

***

Look up the VASP energy of the fourth one. -11.58 eV/atom

***

Which formula does entry 2 have? La2ZrNb2